{
  "formula": "Ta2Os",
  "functional": "GGA-PBE",
  "state": "optimized geometry",
  "cell": [[4.5609, 0.0000, 0.0000], [-2.2804, 3.9136, 0.5344], [0.0000, -0.7520, 5.5066]],
  "species": ["Ta", "Ta", "Ta", "Ta", "Os", "Os"],
  "fractional_positions": [[0.1667, 0.3334, 0.3319], [0.8333, 0.6666, 0.6681], [0.5000, 0.0000, 0.5000], [0.5000, 0.0000, 0.0000], [0.1667, 0.3333, 0.8339], [0.8333, 0.6667, 0.1661]],
  "e_form_kcal_per_mol_atoms": -7.11,
  "sg": "P-3m1, No. 164",
  "final_energy_ev_per_atom": -11.953
}